First-principles (GGA-PBE) data for an optimized crystal structure of LiAl2GeCl, as listed in the Alexandria database.

calculated total energy: -13.17 eV for the cell shown
uncorrected formation energy: 538.3 meV per atom
volume: 26.60 Å³ per atom
calculated density: 2.11 Mg/m³

Cell lengths 5.1320, 5.1320, 5.0499 Å; angles 90.00, 90.00, 90.00 degrees
Last column: nearest neighbours and their distance in Å.
Element x y z (fractional)
Li: 0.0000 0.0000 0.0000  8 Al 3.60, 4 Ge 3.63
Al: 0.0000 0.5000 0.5000  2 Cl 2.57
Al: 0.5000 0.0000 0.5000  2 Cl 2.57
Ge: 0.5000 0.5000 0.0000  2 Cl 2.52
Cl: 0.5000 0.5000 0.5000  2 Ge 2.52, 4 Al 2.57